# 1
First-principles (PBE) data for a geometry-optimized Pb2AuI structure, as listed in Alexandria via LeMat-Bulk.

Cell and atoms, written as POSCAR:
```
Pb2AuI
1.0
2.073 1.197 8.553
-2.073 1.197 8.553
0.000 -2.394 8.553
Pb Au I
2 1 1
direct
0.235 0.235 0.235
0.765 0.765 0.765
0.500 0.500 0.500
0.000 0.000 0.000
```

Calculated values
Energy above the lowest structure with this stoichiometry   0.000 eV/atom
Formation energy from raw total energies   -0.19 eV per atom
Symmetry   R-3m (166)

***

# 2
First-principles (PBE) data for a geometry-optimized K2SrPuF6 structure, as listed in Alexandria via LeMat-Bulk.

Cell and atoms, written as POSCAR:
```
K2SrPuF6
1.0
6.545 0.000 0.000
0.000 6.665 0.000
-6.514 0.000 9.278
K Sr Pu F
4 2 2 12
direct
0.232 0.039 0.251
0.232 0.461 0.751
0.768 0.539 0.249
0.768 0.961 0.749
0.000 0.000 0.500
0.000 0.500 0.000
0.500 0.000 0.000
0.500 0.500 0.500
0.150 0.217 0.932
0.150 0.283 0.432
0.223 0.719 0.938
0.223 0.781 0.438
0.362 0.057 0.751
0.362 0.443 0.251
0.638 0.557 0.749
0.638 0.943 0.249
0.777 0.219 0.562
0.777 0.281 0.062
0.850 0.717 0.568
0.850 0.783 0.068
```

Calculated values
Formation energy from raw total energies   -3.16 eV per atom
Symmetry   P2_1/c (14)

***

# 3
First-principles (PBE) data for a geometry-optimized LaThRuRh structure, as listed in Alexandria via LeMat-Bulk.

Cell and atoms, written as POSCAR:
```
LaThRuRh
1.0
0.000 3.570 3.570
3.570 0.000 3.570
3.570 3.570 0.000
La Th Ru Rh
1 1 1 1
direct
0.000 0.000 0.000
0.500 0.500 0.500
0.750 0.750 0.750
0.250 0.250 0.250
```

Calculated values
Symmetry   F-43m (216)
Formation energy   -464 meV per atom

***

# 4
First-principles (PBE) data for a geometry-optimized Mg2CuWCl structure, as listed in Alexandria via LeMat-Bulk.

Cell and atoms, written as POSCAR:
```
Mg2CuWCl
1.0
4.812 0.000 0.000
0.000 4.812 0.000
0.000 0.000 4.299
Mg Cu W Cl
2 1 1 1
direct
0.000 0.500 0.000
0.500 0.000 0.000
0.000 0.000 0.500
0.500 0.500 0.500
0.000 0.000 0.000
```

Calculated values
Formation energy from raw total energies   1.00 eV per atom
Symmetry   P4/mmm (123)

***

Number 1: total energy -3.255 eV/atom, total magnetization 0.0 μB/cell. Number 2: total energy -6.104 eV/atom, total magnetization 11.5 μB/cell. Number 3: total energy -7.708 eV/atom, total magnetization 0.0 μB/cell. Number 4: total energy -3.415 eV/atom, total magnetization 2.3 μB/cell.